{
  "formula": "Mg2Sc5InAg2",
  "functional": "PBE-GGA",
  "state": "relaxed",
  "cell": [[-0.940, -2.703, 2.053], [11.154, -2.590, 1.696], [0.208, 6.954, 9.252]],
  "species": ["Mg", "Mg", "Mg", "Mg", "Sc", "Sc", "Sc", "Sc", "Sc", "Sc", "Sc", "Sc", "Sc", "Sc", "In", "In", "Ag", "Ag", "Ag", "Ag"],
  "fractional_positions": [[0.000, 0.675, 0.175], [0.000, 0.325, 0.825], [0.000, 0.175, 0.325], [0.000, 0.825, 0.675], [0.500, 0.199, 0.063], [0.500, 0.801, 0.937], [0.500, 0.063, 0.801], [0.500, 0.699, 0.437], [0.500, 0.937, 0.199], [0.500, 0.301, 0.563], [0.500, 0.563, 0.699], [0.500, 0.437, 0.301], [0.500, 0.500, 0.000], [0.500, 0.000, 0.500], [0.000, 0.000, 0.000], [0.000, 0.500, 0.500], [0.000, 0.130, 0.630], [0.000, 0.870, 0.370], [0.000, 0.630, 0.870], [0.000, 0.370, 0.130]],
  "spacegroup": "P4/mbm",
  "final_energy_ev_per_atom": -4.44,
  "formation_energy_kj_per_mol_fu": -111
}